Y2Zn2Hg3 | GGA-PBE | optimized geometry

```
14
Lattice="-2.566 -2.295 -2.271 -1.688 -4.290 6.243 -6.311 7.410 3.385" Properties=species:S:1:pos:R:3 pbc="T T T"
Y -2.853 0.933 2.281
Y -7.711 -0.108 5.076
Y -8.455 3.347 2.425
Y -2.109 -2.522 4.932
Zn -5.769 -2.852 5.655
Zn -4.796 3.677 1.702
Zn -5.475 1.952 4.212
Zn -5.090 -1.128 3.145
Hg -4.642 -0.434 5.683
Hg -5.923 1.258 1.675
Hg -2.999 -2.208 1.876
Hg -7.565 3.033 5.482
Hg -8.192 1.439 7.801
Hg -2.372 -0.614 -0.444
```

Results
Space group: Cmcm
Energy above the lowest structure with this stoichiometry: 3.0 kJ/mol of atoms
Uncorrected energy: -0.0963 Ha/atom
M_tot: 0.00 μB per formula unit